Density functional theory data (PBE) for crystalline PmDy5Pb6 at its relaxed geometry.

Cell and atoms, written as CIF:
```
data_PmDy5Pb6
_space_group_name_H-M_alt 'I m m m'
_space_group_IT_number 71
_space_group_name_Hall '-I 2 2'
_cell_length_a 4.997
_cell_length_b 8.942
_cell_length_c 15.230
_cell_angle_alpha 90.00
_cell_angle_beta 90.00
_cell_angle_gamma 90.00
loop_
_atom_site_label
_atom_site_fract_x
_atom_site_fract_y
_atom_site_fract_z
Pm1 0.000 0.000 0.000
Dy1 0.000 0.000 0.332
Dy2 0.000 0.500 0.000
Dy3 0.000 0.500 0.332
Pb1 0.000 0.247 0.500
Pb2 0.000 0.252 0.168
```

- Formation enthalpy at 0 K: -0.44 eV per atom
- E above lowest polymorph: 3 meV/atom
- Electronic total energy: -4.6067 eV/atom